DFT (meta-GGA SCAN) results for a crystal of AlBi2MoPb relaxed with PBEsol.

ΔE_f: 1.53 eV per atom
Uncorrected energy: -53.588 eV per atom
V: 172.2 Å³/cell
Total magnetic moment: 4.461 μB per cell

Cell lengths 5.8215, 5.8215, 5.0816 Å; angles 90.00, 90.00, 90.00 degrees
Closest atoms and distances in Å follow each position.
Atoms (fractional coordinates):
Al (0.0000, 0.0000, 0.0000)  2 Pb 2.54
Bi (0.0000, 0.5000, 0.5000)  2 Pb 2.91
Bi (0.5000, 0.0000, 0.5000)  2 Pb 2.91
Mo (0.5000, 0.5000, 0.0000)  8 Bi 3.86, 4 Al 4.12
Pb (0.0000, 0.0000, 0.5000)  2 Al 2.54